NaSm2MoN4 after structural relaxation. Source: Alexandria via LeMat-Bulk, functional PBE-GGA.

Output
The uncorrected formation energy comes out at -849 meV/atom. As for the crystal system: orthorhombic.

a = 8.1603 Å, b = 8.1878 Å, c = 8.0395 Å
α = 90.00°, β = 90.00°, γ = 90.00°
Space group Fmm2 (No. 42)
Inequivalent atoms, fractional coordinates:
Na 0.0000 0.0000 0.0000 [4 per cell]
Sm 0.2500 0.2500 0.2502 [8 per cell]
Mo 0.0000 0.0000 0.5007 [4 per cell]
N 0.0000 0.2077 0.3903 [8 per cell]
N 0.2076 0.0000 0.6119 [8 per cell]